# Pm2Si2Ir2C GGA-PBE optimized geometry
# **E_tot**: -7.55 eV per atom
# **Raw formation energy**: -0.79 eV/atom
data_Pm2Si2Ir2C
_chemical_formula_sum 'Pm4 Si4 Ir4 C2'
_cell_length_a 11.129
_cell_length_b 4.073
_cell_length_c 7.113
_cell_angle_alpha 90.00
_cell_angle_beta 129.48
_cell_angle_gamma 90.00
_symmetry_space_group_name_H-M 'C 1 2/m 1'
_symmetry_Int_Tables_number 12
_symmetry_space_group_name_Hall '-C 2y'
loop_
_atom_site_label
_atom_site_type_symbol
_atom_site_fract_x
_atom_site_fract_y
_atom_site_fract_z
Pm1 Pm 0.068 0.000 0.304
Si1 Si 0.153 0.500 0.695
Ir1 Ir 0.202 0.500 0.090
C1 C 0.000 0.500 0.000

=====

# Pm8Te3Ir3C GGA-PBE optimized geometry
# **E_tot**: -6.38 eV per atom
# **Raw formation energy**: -0.83 eV/atom
data_Pm8Te3Ir3C
_chemical_formula_sum 'Pm16 Te6 Ir6 C2'
_cell_length_a 14.376
_cell_length_b 8.295
_cell_length_c 8.880
_cell_angle_alpha 90.00
_cell_angle_beta 122.76
_cell_angle_gamma 90.00
_symmetry_space_group_name_H-M 'C 1 2/m 1'
_symmetry_Int_Tables_number 12
_symmetry_space_group_name_Hall '-C 2y'
loop_
_atom_site_label
_atom_site_type_symbol
_atom_site_fract_x
_atom_site_fract_y
_atom_site_fract_z
Pm1 Pm 0.014 0.232 0.309
Pm2 Pm 0.218 0.000 0.691
Pm3 Pm 0.237 0.500 0.712
Te1 Te 0.000 0.000 0.000
Te2 Te 0.250 0.250 0.000
Ir1 Ir 0.000 0.500 0.500
Ir2 Ir 0.250 0.250 0.500
C1 C 0.000 0.000 0.500

=====

# Pr2TlIrC GGA-PBE optimized geometry
# **E_tot**: -6.38 eV per atom
data_Pr2TlIrC
_chemical_formula_sum 'Pr2 Tl1 Ir1 C1'
_cell_length_a 5.428
_cell_length_b 5.428
_cell_length_c 3.914
_cell_angle_alpha 90.00
_cell_angle_beta 90.00
_cell_angle_gamma 90.00
_symmetry_space_group_name_H-M 'P 4/m m m'
_symmetry_Int_Tables_number 123
_symmetry_space_group_name_Hall '-P 4 2'
loop_
_atom_site_label
_atom_site_type_symbol
_atom_site_fract_x
_atom_site_fract_y
_atom_site_fract_z
Pr1 Pr 0.000 0.500 0.000
Tl1 Tl 0.000 0.000 0.500
Ir1 Ir 0.500 0.500 0.500
C1 C 0.500 0.500 0.000

=====

# IrPt3C GGA-PBE optimized geometry
# **E_tot**: -6.52 eV per atom
# **ΔE to the lowest computed polymorph**: 0.0000 eV/atom
data_IrPt3C
_chemical_formula_sum 'Ir1 Pt3 C1'
_cell_length_a 4.158
_cell_length_b 4.158
_cell_length_c 4.158
_cell_angle_alpha 90.00
_cell_angle_beta 90.00
_cell_angle_gamma 90.00
_symmetry_space_group_name_H-M 'P m -3 m'
_symmetry_Int_Tables_number 221
_symmetry_space_group_name_Hall '-P 4 2 3'
loop_
_atom_site_label
_atom_site_type_symbol
_atom_site_fract_x
_atom_site_fract_y
_atom_site_fract_z
Ir1 Ir 0.000 0.000 0.000
Pt1 Pt 0.000 0.500 0.500
C1 C 0.500 0.500 0.500

=====

# IrPtC2 GGA-PBE optimized geometry
# **E_tot**: -6.43 eV per atom
# **ΔE to the lowest computed polymorph**: 1.2203 eV/atom
data_IrPtC2
_chemical_formula_sum 'Ir4 Pt4 C8'
_cell_length_a 5.538
_cell_length_b 5.538
_cell_length_c 5.538
_cell_angle_alpha 90.00
_cell_angle_beta 90.00
_cell_angle_gamma 90.00
_symmetry_space_group_name_H-M 'F m -3 m'
_symmetry_Int_Tables_number 225
_symmetry_space_group_name_Hall '-F 4 2 3'
loop_
_atom_site_label
_atom_site_type_symbol
_atom_site_fract_x
_atom_site_fract_y
_atom_site_fract_z
Ir1 Ir 0.000 0.000 0.000
Pt1 Pt 0.000 0.000 0.500
C1 C 0.250 0.250 0.250

=====

# IrPt3C GGA-PBE optimized geometry
# **E_tot**: -4.58 eV per atom
# **ΔE to the lowest computed polymorph**: 1.9461 eV/atom
data_IrPt3C
_chemical_formula_sum 'Ir1 Pt3 C1'
_cell_length_a 4.841
_cell_length_b 4.841
_cell_length_c 4.841
_cell_angle_alpha 90.00
_cell_angle_beta 90.00
_cell_angle_gamma 90.00
_symmetry_space_group_name_H-M 'P m -3 m'
_symmetry_Int_Tables_number 221
_symmetry_space_group_name_Hall '-P 4 2 3'
loop_
_atom_site_label
_atom_site_type_symbol
_atom_site_fract_x
_atom_site_fract_y
_atom_site_fract_z
Ir1 Ir 0.000 0.000 0.000
Pt1 Pt 0.000 0.000 0.500
C1 C 0.500 0.500 0.500

=====

# IrPtC2 GGA-PBE optimized geometry
# **E_tot**: -7.65 eV per atom
# **ΔE to the lowest computed polymorph**: 0.0000 eV/atom
data_IrPtC2
_chemical_formula_sum 'Ir4 Pt4 C8'
_cell_length_a 4.679
_cell_length_b 4.679
_cell_length_c 9.348
_cell_angle_alpha 90.00
_cell_angle_beta 90.00
_cell_angle_gamma 90.00
_symmetry_space_group_name_H-M 'I -4 2 d'
_symmetry_Int_Tables_number 122
_symmetry_space_group_name_Hall 'I -4 2bw'
loop_
_atom_site_label
_atom_site_type_symbol
_atom_site_fract_x
_atom_site_fract_y
_atom_site_fract_z
Ir1 Ir 0.000 0.000 0.000
Pt1 Pt 0.000 0.000 0.500
C1 C 0.237 0.250 0.125

=====

# SbIrPtC2 GGA-PBE optimized geometry
# **E_tot**: -5.94 eV per atom
# **Raw formation energy**: 1.55 eV/atom
data_SbIrPtC2
_chemical_formula_sum 'Sb1 Ir1 Pt1 C2'
_cell_length_a 3.875
_cell_length_b 3.875
_cell_length_c 5.546
_cell_angle_alpha 90.00
_cell_angle_beta 90.00
_cell_angle_gamma 90.00
_symmetry_space_group_name_H-M 'P 4/m m m'
_symmetry_Int_Tables_number 123
_symmetry_space_group_name_Hall '-P 4 2'
loop_
_atom_site_label
_atom_site_type_symbol
_atom_site_fract_x
_atom_site_fract_y
_atom_site_fract_z
Sb1 Sb 0.000 0.000 0.000
Ir1 Ir 0.500 0.500 0.000
Pt1 Pt 0.500 0.500 0.500
C1 C 0.000 0.500 0.500

=====

# YIrPt2C GGA-PBE optimized geometry
# **E_tot**: -5.19 eV per atom
data_YIrPt2C
_chemical_formula_sum 'Y1 Ir1 Pt2 C1'
_cell_length_a 5.036
_cell_length_b 5.036
_cell_length_c 4.201
_cell_angle_alpha 90.00
_cell_angle_beta 90.00
_cell_angle_gamma 90.00
_symmetry_space_group_name_H-M 'P 4/m m m'
_symmetry_Int_Tables_number 123
_symmetry_space_group_name_Hall '-P 4 2'
loop_
_atom_site_label
_atom_site_type_symbol
_atom_site_fract_x
_atom_site_fract_y
_atom_site_fract_z
Y1 Y 0.000 0.000 0.000
Ir1 Ir 0.500 0.500 0.500
Pt1 Pt 0.000 0.500 0.000
C1 C 0.000 0.000 0.500

=====

# PuIrC GGA-PBE optimized geometry
# **E_tot**: -10.83 eV per atom
data_PuIrC
_chemical_formula_sum 'Pu2 Ir2 C2'
_cell_length_a 3.938
_cell_length_b 3.890
_cell_length_c 6.590
_cell_angle_alpha 90.00
_cell_angle_beta 99.41
_cell_angle_gamma 90.00
_symmetry_space_group_name_H-M 'P 1 m 1'
_symmetry_Int_Tables_number 6
_symmetry_space_group_name_Hall 'P -2y'
loop_
_atom_site_label
_atom_site_type_symbol
_atom_site_fract_x
_atom_site_fract_y
_atom_site_fract_z
Pu1 Pu 0.000 0.000 0.000
Pu2 Pu 0.089 0.000 0.476
Ir1 Ir 0.449 0.500 0.760
Ir2 Ir 0.580 0.500 0.349
C1 C 0.485 0.500 0.058
C2 C 0.901 0.500 0.672

=====

# RbIrC2 GGA-PBE optimized geometry
# **E_tot**: -4.27 eV per atom
# **ΔE to the lowest computed polymorph**: 2.1044 eV/atom
data_RbIrC2
_chemical_formula_sum 'Rb4 Ir4 C8'
_cell_length_a 6.022
_cell_length_b 6.022
_cell_length_c 6.022
_cell_angle_alpha 90.00
_cell_angle_beta 90.00
_cell_angle_gamma 90.00
_symmetry_space_group_name_H-M 'F m -3 m'
_symmetry_Int_Tables_number 225
_symmetry_space_group_name_Hall '-F 4 2 3'
loop_
_atom_site_label
_atom_site_type_symbol
_atom_site_fract_x
_atom_site_fract_y
_atom_site_fract_z
Rb1 Rb 0.000 0.000 0.000
Ir1 Ir 0.000 0.000 0.500
C1 C 0.250 0.250 0.250

=====

# RbIrC2 GGA-PBE optimized geometry
# **E_tot**: -6.38 eV per atom
# **ΔE to the lowest computed polymorph**: 0.0000 eV/atom
data_RbIrC2
_chemical_formula_sum 'Rb4 Ir4 C8'
_cell_length_a 6.177
_cell_length_b 6.177
_cell_length_c 8.773
_cell_angle_alpha 90.00
_cell_angle_beta 90.00
_cell_angle_gamma 90.00
_symmetry_space_group_name_H-M 'I 41/a m d'
_symmetry_Int_Tables_number 141
loop_
_symmetry_equiv_pos_as_xyz
'x,y,z'
'-x,-y,-z'
'-y+1/4,x+3/4,z+1/4'
'y+1/4,-x+3/4,-z+1/4'
'-x+1/2,-y,z+1/2'
'x+1/2,y,-z+1/2'
'y+1/4,-x+1/4,z+3/4'
'-y+1/4,x+1/4,-z+3/4'
'x,-y,-z'
'-x,y,z'
'-y+1/4,-x+1/4,-z+3/4'
'y+1/4,x+1/4,z+3/4'
'-x+1/2,y,-z+1/2'
'x+1/2,-y,z+1/2'
'y+1/4,x+3/4,-z+1/4'
'-y+1/4,-x+3/4,z+1/4'
'x+1/2,y+1/2,z+1/2'
'-x+1/2,-y+1/2,-z+1/2'
'-y+3/4,x+1/4,z+3/4'
'y+3/4,-x+1/4,-z+3/4'
'-x,-y+1/2,z'
'x,y+1/2,-z'
'y+3/4,-x+3/4,z+1/4'
'-y+3/4,x+3/4,-z+1/4'
'x+1/2,-y+1/2,-z+1/2'
'-x+1/2,y+1/2,z+1/2'
'-y+3/4,-x+3/4,-z+1/4'
'y+3/4,x+3/4,z+1/4'
'-x,y+1/2,-z'
'x,-y+1/2,z'
'y+3/4,x+1/4,-z+3/4'
'-y+3/4,-x+1/4,z+3/4'
loop_
_atom_site_label
_atom_site_type_symbol
_atom_site_fract_x
_atom_site_fract_y
_atom_site_fract_z
Rb1 Rb 0.000 0.250 0.375
Ir1 Ir 0.000 0.250 0.875
C1 C 0.000 0.000 0.000